Model w:
Computed, not measured: an optimized crystal structure of Sc2MoRu at the GGA-PBEsol level of DFT.

Output
The density of states at the Fermi level comes out at 8.7 states/eV/cell. As for the space-group type: No. 44.

a b c (Å): 3.158 4.571 9.477
angles (deg): 90.00 90.00 90.00
Sites, in units of the cell vectors:
Sc (0.000, 0.000, 0.000)
Sc (0.000, 0.500, 0.223)
Sc (0.500, 0.000, 0.723)
Sc (0.500, 0.500, 0.500)
Mo (0.000, 0.500, 0.763)
Mo (0.500, 0.000, 0.263)
Ru (0.000, 0.000, 0.478)
Ru (0.500, 0.500, 0.978)

---

Model x:
Computed, not measured: an optimized crystal structure of Sc2MoRu at the GGA-PBEsol level of DFT.

Output
The density of states at the Fermi level comes out at 3.4 states/eV/cell. As for the space-group type: No. 6.

a b c (Å): 2.964 4.381 5.425
angles (deg): 90.00 104.51 90.00
Sites, in units of the cell vectors:
Sc (0.000, 0.000, 0.000)
Sc (0.266, 0.500, 0.711)
Mo (0.708, 0.500, 0.254)
Ru (0.514, 0.000, 0.465)

---

Most stable: model w

---

Model w:
Computed, not measured: an optimized crystal structure of MoRuSe2 at the GGA-PBEsol level of DFT.

Output
The density of states at the Fermi level comes out at 2.8 states/eV/cell. As for the space-group type: No. 99.

a b c (Å): 2.954 2.954 7.826
angles (deg): 90.00 90.00 90.00
Sites, in units of the cell vectors:
Mo (0.000, 0.000, 0.000)
Ru (0.500, 0.500, 0.250)
Se (0.000, 0.000, 0.431)
Se (0.500, 0.500, 0.812)

---

Model x:
Computed, not measured: an optimized crystal structure of MoRuSe2 at the GGA-PBEsol level of DFT.

Output
The density of states at the Fermi level comes out at 9.2 states/eV/cell. As for the space-group type: No. 160.

a b c (Å): 3.011 3.011 27.855
angles (deg): 90.00 90.00 120.00
Sites, in units of the cell vectors:
Mo (0.000, 0.000, 0.000)
Mo (0.333, 0.667, 0.667)
Mo (0.667, 0.333, 0.333)
Ru (0.000, 0.000, 0.252)
Ru (0.333, 0.667, 0.919)
Ru (0.667, 0.333, 0.586)
Se (0.000, 0.000, 0.525)
Se (0.000, 0.000, 0.730)
Se (0.333, 0.667, 0.191)
Se (0.333, 0.667, 0.397)
Se (0.667, 0.333, 0.064)
Se (0.667, 0.333, 0.858)

---

Most stable: model w

---

Model w:
Computed, not measured: an optimized crystal structure of SrMo2Ru at the GGA-PBEsol level of DFT.

Output
The density of states at the Fermi level comes out at 9.2 states/eV/cell. As for the space-group type: No. 12.

a b c (Å): 5.467 9.608 2.751
angles (deg): 90.00 107.27 90.00
Sites, in units of the cell vectors:
Sr (0.000, 0.000, 0.000)
Sr (0.500, 0.500, 0.000)
Mo (0.250, 0.250, 0.500)
Mo (0.250, 0.750, 0.500)
Mo (0.750, 0.250, 0.500)
Mo (0.750, 0.750, 0.500)
Ru (0.000, 0.500, 0.000)
Ru (0.500, 0.000, 0.000)

---

Model x:
Computed, not measured: an optimized crystal structure of SrMo2Ru at the GGA-PBEsol level of DFT.

Output
The density of states at the Fermi level comes out at 7.5 states/eV/cell. As for the space-group type: No. 8.

a b c (Å): 9.367 3.063 5.929
angles (deg): 90.00 105.42 90.00
Sites, in units of the cell vectors:
Sr (0.000, 0.000, 0.000)
Sr (0.500, 0.500, 0.000)
Mo (0.008, 0.500, 0.515)
Mo (0.297, 0.500, 0.363)
Mo (0.508, 0.000, 0.515)
Mo (0.797, 0.000, 0.363)
Ru (0.230, 0.000, 0.663)
Ru (0.730, 0.500, 0.663)

---

Most stable: model x

---

Model w:
Computed, not measured: an optimized crystal structure of TaMo2Ru at the GGA-PBEsol level of DFT.

Output
The density of states at the Fermi level comes out at 2.6 states/eV/cell. As for the space-group type: No. 99.

a b c (Å): 3.129 3.129 6.286
angles (deg): 90.00 90.00 90.00
Sites, in units of the cell vectors:
Ta (0.000, 0.000, 0.000)
Mo (0.000, 0.000, 0.489)
Mo (0.500, 0.500, 0.259)
Ru (0.500, 0.500, 0.757)

---

Model x:
Computed, not measured: an optimized crystal structure of TaMo2Ru at the GGA-PBEsol level of DFT.

Output
The density of states at the Fermi level comes out at 16.4 states/eV/cell. As for the space-group type: No. 225.

a b c (Å): 6.261 6.261 6.261
angles (deg): 90.00 90.00 90.00
Sites, in units of the cell vectors:
Ta (0.000, 0.000, 0.000)
Ta (0.000, 0.500, 0.500)
Ta (0.500, 0.000, 0.500)
Ta (0.500, 0.500, 0.000)
Mo (0.250, 0.250, 0.250)
Mo (0.250, 0.250, 0.750)
Mo (0.250, 0.750, 0.250)
Mo (0.250, 0.750, 0.750)
Mo (0.750, 0.250, 0.250)
Mo (0.750, 0.250, 0.750)
Mo (0.750, 0.750, 0.250)
Mo (0.750, 0.750, 0.750)
Ru (0.000, 0.000, 0.500)
Ru (0.000, 0.500, 0.000)
Ru (0.500, 0.000, 0.000)
Ru (0.500, 0.500, 0.500)

---

Most stable: model w

---

Model w:
Computed, not measured: an optimized crystal structure of TcMoRu2 at the GGA-PBEsol level of DFT.

Output
The density of states at the Fermi level comes out at 8.5 states/eV/cell. As for the space-group type: No. 139.

a b c (Å): 3.826 3.826 7.624
angles (deg): 90.00 90.00 90.00
Sites, in units of the cell vectors:
Tc (0.000, 0.000, 0.000)
Tc (0.500, 0.500, 0.500)
Mo (0.000, 0.000, 0.500)
Mo (0.500, 0.500, 0.000)
Ru (0.000, 0.500, 0.250)
Ru (0.000, 0.500, 0.750)
Ru (0.500, 0.000, 0.250)
Ru (0.500, 0.000, 0.750)

---

Model x:
Computed, not measured: an optimized crystal structure of TcMoRu2 at the GGA-PBEsol level of DFT.

Output
The density of states at the Fermi level comes out at 9.0 states/eV/cell. As for the space-group type: No. 8.

a b c (Å): 8.934 2.712 4.691
angles (deg): 90.00 99.76 90.00
Sites, in units of the cell vectors:
Tc (0.000, 0.000, 0.000)
Tc (0.500, 0.500, 0.000)
Mo (0.258, 0.500, 0.278)
Mo (0.758, 0.000, 0.278)
Ru (0.009, 0.500, 0.520)
Ru (0.255, 0.000, 0.777)
Ru (0.509, 0.000, 0.520)
Ru (0.755, 0.500, 0.777)

---

Most stable: model w

---

Model w:
Computed, not measured: an optimized crystal structure of MoRu2W at the GGA-PBEsol level of DFT.

Output
The density of states at the Fermi level comes out at 3.9 states/eV/cell. As for the space-group type: No. 47.

a b c (Å): 2.754 3.802 5.509
angles (deg): 90.00 90.00 90.00
Sites, in units of the cell vectors:
Mo (0.000, 0.000, 0.000)
Ru (0.500, 0.500, 0.249)
Ru (0.500, 0.500, 0.751)
W (0.000, 0.000, 0.500)

---

Model x:
Computed, not measured: an optimized crystal structure of MoRu2W at the GGA-PBEsol level of DFT.

Output
The density of states at the Fermi level comes out at 31.1 states/eV/cell. As for the space-group type: No. 225.

a b c (Å): 6.160 6.160 6.160
angles (deg): 90.00 90.00 90.00
Sites, in units of the cell vectors:
Mo (0.000, 0.000, 0.000)
Mo (0.000, 0.500, 0.500)
Mo (0.500, 0.000, 0.500)
Mo (0.500, 0.500, 0.000)
Ru (0.250, 0.250, 0.250)
Ru (0.250, 0.250, 0.750)
Ru (0.250, 0.750, 0.250)
Ru (0.250, 0.750, 0.750)
Ru (0.750, 0.250, 0.250)
Ru (0.750, 0.250, 0.750)
Ru (0.750, 0.750, 0.250)
Ru (0.750, 0.750, 0.750)
W (0.000, 0.000, 0.500)
W (0.000, 0.500, 0.000)
W (0.500, 0.000, 0.000)
W (0.500, 0.500, 0.500)

---

Most stable: model w

---

Model w:
Computed, not measured: an optimized crystal structure of Y2MoRu at the GGA-PBEsol level of DFT.

Output
The density of states at the Fermi level comes out at 8.2 states/eV/cell. As for the space-group type: No. 12.

a b c (Å): 6.084 8.844 3.097
angles (deg): 90.00 111.72 90.00
Sites, in units of the cell vectors:
Y (0.250, 0.250, 0.000)
Y (0.250, 0.750, 0.000)
Y (0.750, 0.250, 0.000)
Y (0.750, 0.750, 0.000)
Mo (0.000, 0.000, 0.500)
Mo (0.500, 0.500, 0.500)
Ru (0.000, 0.500, 0.500)
Ru (0.500, 0.000, 0.500)

---

Model x:
Computed, not measured: an optimized crystal structure of Y2MoRu at the GGA-PBEsol level of DFT.

Output
The density of states at the Fermi level comes out at 3.9 states/eV/cell. As for the space-group type: No. 47.

a b c (Å): 3.405 4.449 5.097
angles (deg): 90.00 90.00 90.00
Sites, in units of the cell vectors:
Y (0.000, 0.000, 0.000)
Y (0.500, 0.000, 0.500)
Mo (0.000, 0.500, 0.500)
Ru (0.500, 0.500, 0.000)

---

Model y:
Computed, not measured: an optimized crystal structure of Y2MoRu at the GGA-PBEsol level of DFT.

Output
The density of states at the Fermi level comes out at 20.0 states/eV/cell. As for the space-group type: No. 216.

a b c (Å): 6.716 6.716 6.716
angles (deg): 90.00 90.00 90.00
Sites, in units of the cell vectors:
Y (0.000, 0.000, 0.000)
Y (0.000, 0.500, 0.500)
Y (0.250, 0.250, 0.250)
Y (0.250, 0.750, 0.750)
Y (0.500, 0.000, 0.500)
Y (0.500, 0.500, 0.000)
Y (0.750, 0.250, 0.750)
Y (0.750, 0.750, 0.250)
Mo (0.250, 0.250, 0.750)
Mo (0.250, 0.750, 0.250)
Mo (0.750, 0.250, 0.250)
Mo (0.750, 0.750, 0.750)
Ru (0.000, 0.000, 0.500)
Ru (0.000, 0.500, 0.000)
Ru (0.500, 0.000, 0.000)
Ru (0.500, 0.500, 0.500)

---

Most stable: model y